1.
# ZrTlCl2

A geometry-optimized ZrTlCl2 structure (PBE-GGA, the Alexandria database).

Summary:
DFT total energy: -4.723 eV/atom
magnetization: 0.0002 μB/atom
crystal system: trigonal

Cell lengths 3.3646, 3.3646, 30.2296 Å; angles 90.00, 90.00, 120.00 degrees
Space group R-3m (No. 166, hexagonal axes)
Unique sites:
Zr: 0.0000 0.0000 0.0000
Tl: 0.0000 0.0000 0.5000
Cl: 0.0000 0.0000 0.2730



2.
# Dy2Ga2Mo2C

A geometry-optimized Dy2Ga2Mo2C structure (PBE-GGA, the Alexandria database).

Summary:
ΔH_f (0 K): -432 meV/atom
magnetization: 0.0000 μB/atom
crystal system: monoclinic

Cell lengths 11.3179, 3.6475, 7.4638 Å; angles 90.00, 123.09, 90.00 degrees
Space group C2/m (No. 12)
Unique sites:
Dy: 0.0693 0.0000 0.2792
Ga: 0.1299 0.5000 0.6514
Mo: 0.2015 0.5000 0.0713
C: 0.0000 0.5000 0.0000



3.
# ScTi3Se

A geometry-optimized ScTi3Se structure (PBE-GGA, the Alexandria database).

Summary:
DFT total energy: -5.557 eV/atom
magnetization: 0.5617 μB/atom
crystal system: cubic

Cell lengths 4.7562, 4.7562, 4.7562 Å; angles 90.00, 90.00, 90.00 degrees
Space group Pm-3m (No. 221)
Unique sites:
Sc: 0.0000 0.0000 0.0000
Ti: 0.0000 0.0000 0.5000
Se: 0.5000 0.5000 0.5000



4.
# MgZrGa

A geometry-optimized MgZrGa structure (PBE-GGA, the Alexandria database).

Summary:
ΔH_f (0 K): -304 meV/atom
magnetization: 0.0000 μB/atom
crystal system: orthorhombic

Cell lengths 4.5035, 8.9584, 5.7836 Å; angles 90.00, 90.00, 90.00 degrees
Space group Cmcm (No. 63)
Unique sites:
Mg: 0.0000 0.0000 0.0000
Zr: 0.0000 0.3218 0.2500
Ga: 0.0000 0.3579 0.7500